# 1
80
Lattice="10.565 0.000 0.000 -3.522 9.961 0.000 -3.522 -4.981 8.627" Properties=species:S:1:pos:R:3 comment="Ga5Ge3O12 (PBE-GGA, optimized geometry)" e_form_raw_ev_per_fu=-27.667 volume_a3_per_fu=227 spacegroup=Ia-3d e_tot_ev_per_atom=-5.808 pbc="T T T"
Ga 6.163 -0.623 5.392
O 1.313 -1.261 7.793
O -2.684 8.532 1.125
O -3.387 3.850 8.336
O 1.627 6.654 3.479
O 1.237 3.697 5.822
O 3.387 1.673 5.147
Ga -0.880 2.490 2.157
Ge 2.641 5.603 5.392
O 4.046 4.277 6.827
O 5.417 2.804 3.188
O -3.970 -0.092 7.117
O -2.285 5.684 6.827
O 1.895 -1.673 5.147
O -1.237 -0.580 4.022
Ga 0.880 3.113 7.548
O 4.835 4.889 1.509
O 0.923 0.802 4.988
O -1.313 0.092 7.117
O -0.524 0.703 1.800
Ga 4.402 2.490 6.470
Ga -0.880 8.093 1.078
O -0.923 3.552 7.502
Ga -3.522 2.490 4.313
O -0.923 -2.750 6.113
Ga 5.283 0.000 0.000
Ga 4.402 4.358 3.235
Ge -2.641 1.868 7.548
Ge 4.402 0.623 3.235
O 3.970 -1.353 7.952
O 2.209 3.628 0.675
O 6.519 0.580 4.022
Ge 6.163 6.848 1.078
O 4.759 5.560 4.604
O 6.206 -3.552 7.502
O -3.656 7.157 3.188
Ga -1.761 4.981 0.000
Ga -1.761 -2.490 4.313
O 7.178 -2.177 5.438
O -4.360 2.750 6.113
Ga 2.641 7.471 2.157
O 6.909 1.131 0.291
O -1.895 2.177 5.438
Ge 0.880 -0.623 3.235
Ga 0.000 0.000 0.000
O 3.970 1.261 7.793
Ge 2.641 0.000 6.470
O 5.417 8.830 0.291
O 2.599 4.179 3.638
Ga -0.880 0.623 5.392
O -1.895 -3.850 8.336
Ge -4.402 4.981 6.470
O 5.807 -0.703 1.800
Ga 3.522 -2.490 4.313
O 7.881 2.231 2.513
O 4.445 1.429 1.125
Ge -0.880 4.358 5.392
Ge 7.924 0.000 2.157
Ga 3.522 4.981 0.000
O 0.134 3.308 3.479
O 2.209 6.242 0.834
O 1.313 1.353 7.952
Ga 2.641 1.868 1.078
O -2.998 4.401 4.604
O -0.448 3.720 0.834
Ge -2.641 -1.868 7.548
O 4.360 -0.802 4.988
O 7.492 5.072 1.509
O -0.448 6.333 0.675
O 4.445 7.731 2.513
Ga 1.761 2.490 4.313
Ge 6.163 3.113 1.078
O 2.285 1.283 2.804
O 2.998 -1.283 2.804
Ga 0.880 -2.490 6.470
Ge 0.880 4.981 2.157
O -0.838 5.782 3.638
O 0.524 6.264 5.822
Ga -2.641 5.603 3.235
Ga 4.402 -3.113 7.548



# 2
7
Lattice="3.058 0.000 0.000 0.000 5.111 -0.064 -1.529 -2.556 5.472" Properties=species:S:1:pos:R:3 comment="Ga2GeO4 (PBE-GGA, optimized geometry)" e_form_raw_ev_per_fu=-10.159 volume_a3_per_fu=85 spacegroup=C2/m e_tot_ev_per_atom=-5.809 pbc="T T T"
Ge 0.000 0.000 0.000
O 1.529 0.797 1.678
O 0.000 3.497 1.589
O 0.000 1.757 3.731
Ga 1.529 2.586 2.408
O 1.529 -0.942 3.819
Ga 0.000 -0.032 3.000